The following is a DFT calculation (PBE) of an optimized crystal structure of Dy5Y3Er2.

Results
The calculation puts the electronic total energy at -4.950 eV/atom. The density of states at the Fermi level comes out at 68.267 states/eV/cell. The formation energy comes out at 2.03 eV/f.u.

Geometry as CIF:
```
data_Dy5Y3Er2
_chemical_formula_sum 'Dy20 Y12 Er8'
_cell_length_a 10.653
_cell_length_b 15.613
_cell_length_c 9.504
_cell_angle_alpha 90.00
_cell_angle_beta 124.05
_cell_angle_gamma 90.00
_symmetry_space_group_name_H-M 'C 1 2/c 1'
_symmetry_Int_Tables_number 15
loop_
_symmetry_equiv_pos_as_xyz
'x,y,z'
'-x,-y,-z'
'-x,y,-z+1/2'
'x,-y,z+1/2'
'x+1/2,y+1/2,z'
'-x+1/2,-y+1/2,-z'
'-x+1/2,y+1/2,-z+1/2'
'x+1/2,-y+1/2,z+1/2'
loop_
_atom_site_label
_atom_site_fract_x
_atom_site_fract_y
_atom_site_fract_z
Dy1 0.000 0.031 0.250
Dy2 0.000 0.231 0.250
Dy3 0.000 0.469 0.750
Dy4 0.246 0.109 0.745
Y1 0.000 0.267 0.750
Y2 0.147 0.380 0.545
Er1 0.151 0.118 0.049
```

The following is a DFT calculation (PBE) of an optimized crystal structure of Dy5Y4Er.

Results
Its relative energy among the computed polymorphs is 0 meV/atom. The calculation puts the electronic total energy at -5.286 eV/atom. The density of states at the Fermi level comes out at 18.648 states/eV/cell. The formation energy comes out at 0.57 eV/f.u.

Geometry as CIF:
```
data_Dy5Y4Er
_chemical_formula_sum 'Dy5 Y4 Er1'
_cell_length_a 3.558
_cell_length_b 6.778
_cell_length_c 13.898
_cell_angle_alpha 82.54
_cell_angle_beta 89.86
_cell_angle_gamma 75.01
_symmetry_space_group_name_H-M 'P -1'
_symmetry_Int_Tables_number 2
loop_
_symmetry_equiv_pos_as_xyz
'x,y,z'
'-x,-y,-z'
loop_
_atom_site_label
_atom_site_fract_x
_atom_site_fract_y
_atom_site_fract_z
Dy1 0.000 0.000 0.000
Dy2 0.037 0.918 0.385
Dy3 0.317 0.375 0.416
Y1 0.317 0.329 0.789
Y2 0.377 0.202 0.193
Er1 0.500 0.500 0.000
```

The following is a DFT calculation (PBE) of an optimized crystal structure of Dy2Y8Er.

Results
Its relative energy among the computed polymorphs is 0 meV/atom. The calculation puts the electronic total energy at -5.791 eV/atom. The density of states at the Fermi level comes out at 35.065 states/eV/cell. The formation energy comes out at 1.78 eV/f.u.

Geometry as CIF:
```
data_Dy2Y8Er
_chemical_formula_sum 'Dy4 Y16 Er2'
_cell_length_a 9.029
_cell_length_b 16.166
_cell_length_c 5.877
_cell_angle_alpha 90.00
_cell_angle_beta 123.38
_cell_angle_gamma 90.00
_symmetry_space_group_name_H-M 'C 1 2/m 1'
_symmetry_Int_Tables_number 12
loop_
_symmetry_equiv_pos_as_xyz
'x,y,z'
'-x,-y,-z'
'-x,y,-z'
'x,-y,z'
'x+1/2,y+1/2,z'
'-x+1/2,-y+1/2,-z'
'-x+1/2,y+1/2,-z'
'x+1/2,-y+1/2,z'
loop_
_atom_site_label
_atom_site_fract_x
_atom_site_fract_y
_atom_site_fract_z
Dy1 0.000 0.192 0.000
Y1 0.000 0.294 0.500
Y2 0.073 0.000 0.294
Y3 0.216 0.382 0.175
Er1 0.000 0.500 0.500
```

The following is a DFT calculation (PBE) of an optimized crystal structure of Dy4Y19Er6.

Results
The calculation puts the electronic total energy at -5.426 eV/atom. The density of states at the Fermi level comes out at 91.918 states/eV/cell. The formation energy comes out at 11.24 eV/f.u.

Geometry as CIF:
```
data_Dy4Y19Er6
_chemical_formula_sum 'Dy8 Y38 Er12'
_cell_length_a 12.463
_cell_length_b 12.463
_cell_length_c 12.463
_cell_angle_alpha 90.00
_cell_angle_beta 90.00
_cell_angle_gamma 90.00
_symmetry_space_group_name_H-M 'I 2 3'
_symmetry_Int_Tables_number 197
_symmetry_space_group_name_Hall 'I 2 2 3'
loop_
_atom_site_label
_atom_site_fract_x
_atom_site_fract_y
_atom_site_fract_z
Dy1 0.179 0.179 0.821
Y1 0.000 0.000 0.000
Y2 0.000 0.000 0.262
Y3 0.062 0.266 0.279
Er1 0.000 0.375 0.500
```

The following is a DFT calculation (PBE) of an optimized crystal structure of Dy3Y3Er8.

Results
The calculation puts the electronic total energy at -4.868 eV/atom. The density of states at the Fermi level comes out at 42.898 states/eV/cell. The formation energy comes out at 1.54 eV/f.u.

Geometry as CIF:
```
data_Dy3Y3Er8
_chemical_formula_sum 'Dy6 Y6 Er16'
_cell_length_a 5.569
_cell_length_b 10.705
_cell_length_c 14.849
_cell_angle_alpha 90.00
_cell_angle_beta 90.00
_cell_angle_gamma 90.00
_symmetry_space_group_name_H-M 'I m m m'
_symmetry_Int_Tables_number 71
_symmetry_space_group_name_Hall '-I 2 2'
loop_
_atom_site_label
_atom_site_fract_x
_atom_site_fract_y
_atom_site_fract_z
Dy1 0.000 0.000 0.000
Dy2 0.000 0.295 0.000
Y1 0.000 0.000 0.500
Y2 0.000 0.500 0.181
Er1 0.000 0.159 0.221
Er2 0.000 0.342 0.396
```

The following is a DFT calculation (PBE) of an optimized crystal structure of Dy4Y3Er5.

Results
Its relative energy among the computed polymorphs is 0 meV/atom. The calculation puts the electronic total energy at -5.028 eV/atom. The density of states at the Fermi level comes out at 16.328 states/eV/cell. The formation energy comes out at 0.27 eV/f.u.

Geometry as CIF:
```
data_Dy4Y3Er5
_chemical_formula_sum 'Dy4 Y3 Er5'
_cell_length_a 6.122
_cell_length_b 7.074
_cell_length_c 8.649
_cell_angle_alpha 89.93
_cell_angle_beta 89.91
_cell_angle_gamma 89.95
_symmetry_space_group_name_H-M 'P -1'
_symmetry_Int_Tables_number 2
loop_
_symmetry_equiv_pos_as_xyz
'x,y,z'
'-x,-y,-z'
loop_
_atom_site_label
_atom_site_fract_x
_atom_site_fract_y
_atom_site_fract_z
Dy1 0.167 0.001 0.332
Dy2 0.332 0.750 0.666
Y1 0.333 0.250 0.666
Y2 0.500 0.500 0.000
Er1 0.001 0.750 0.999
Er2 0.166 0.500 0.332
Er3 0.500 0.000 0.000
```

The following is a DFT calculation (PBE) of an optimized crystal structure of DyY8Er6.

Results
Its relative energy among the computed polymorphs is 116 meV/atom. The calculation puts the electronic total energy at -5.330 eV/atom. The density of states at the Fermi level comes out at 23.375 states/eV/cell. The formation energy comes out at 3.74 eV/f.u.

Geometry as CIF:
```
data_DyY8Er6
_chemical_formula_sum 'Dy1 Y8 Er6'
_cell_length_a 9.3440
_cell_length_b 9.3440
_cell_length_c 6.5648
_cell_angle_alpha 90.00
_cell_angle_beta 90.00
_cell_angle_gamma 120.00
_symmetry_space_group_name_H-M 'P -3'
_symmetry_Int_Tables_number 147
loop_
_symmetry_equiv_pos_as_xyz
'x,y,z'
'-x,-y,-z'
'-y,x-y,z'
'y,-x+y,-z'
'-x+y,-x,z'
'x-y,x,-z'
loop_
_atom_site_label
_atom_site_fract_x
_atom_site_fract_y
_atom_site_fract_z
Dy1 0.0000 0.0000 0.0000
Y1 0.0260 0.6899 0.3965
Y2 0.3333 0.6667 0.6796
Er1 0.0870 0.4089 0.0948
```

The following is a DFT calculation (PBE) of an optimized crystal structure of Dy8Y2Er3.

Results
The calculation puts the electronic total energy at -4.647 eV/atom. The density of states at the Fermi level comes out at 42.769 states/eV/cell. The formation energy comes out at 3.02 eV/f.u.

Geometry as CIF:
```
data_Dy8Y2Er3
_chemical_formula_sum 'Dy16 Y4 Er6'
_cell_length_a 20.301
_cell_length_b 7.580
_cell_length_c 5.569
_cell_angle_alpha 90.00
_cell_angle_beta 90.02
_cell_angle_gamma 90.00
_symmetry_space_group_name_H-M 'C 1 2/m 1'
_symmetry_Int_Tables_number 12
loop_
_symmetry_equiv_pos_as_xyz
'x,y,z'
'-x,-y,-z'
'-x,y,-z'
'x,-y,z'
'x+1/2,y+1/2,z'
'-x+1/2,-y+1/2,-z'
'-x+1/2,y+1/2,-z'
'x+1/2,-y+1/2,z'
loop_
_atom_site_label
_atom_site_fract_x
_atom_site_fract_y
_atom_site_fract_z
Dy1 0.107 0.212 0.000
Dy2 0.131 0.500 0.500
Dy3 0.165 0.000 0.500
Y1 0.241 0.500 0.999
Er1 0.000 0.216 0.500
Er2 0.000 0.500 0.000
```

The following is a DFT calculation (PBE) of an optimized crystal structure of Dy12YEr3.

Results
The calculation puts the electronic total energy at -4.692 eV/atom. The density of states at the Fermi level comes out at 20.831 states/eV/cell. The formation energy comes out at 0.31 eV/f.u.

Geometry as CIF:
```
data_Dy12YEr3
_chemical_formula_sum 'Dy12 Y1 Er3'
_cell_length_a 5.006
_cell_length_b 5.006
_cell_length_c 19.998
_cell_angle_alpha 90.00
_cell_angle_beta 90.00
_cell_angle_gamma 90.00
_symmetry_space_group_name_H-M 'P 4/m m m'
_symmetry_Int_Tables_number 123
_symmetry_space_group_name_Hall '-P 4 2'
loop_
_atom_site_label
_atom_site_fract_x
_atom_site_fract_y
_atom_site_fract_z
Dy1 0.000 0.000 0.000
Dy2 0.000 0.000 0.249
Dy3 0.000 0.000 0.500
Dy4 0.000 0.500 0.125
Dy5 0.000 0.500 0.374
Y1 0.500 0.500 0.500
Er1 0.500 0.500 0.000
Er2 0.500 0.500 0.250
```

The following is a DFT calculation (PBE) of an optimized crystal structure of DyY6Er3.

Results
Its relative energy among the computed polymorphs is 27 meV/atom. The calculation puts the electronic total energy at -5.562 eV/atom. The density of states at the Fermi level comes out at 60.058 states/eV/cell. The formation energy comes out at 1.45 eV/f.u.

Geometry as CIF:
```
data_DyY6Er3
_chemical_formula_sum 'Dy4 Y24 Er12'
_cell_length_a 10.956
_cell_length_b 18.897
_cell_length_c 6.226
_cell_angle_alpha 90.00
_cell_angle_beta 90.00
_cell_angle_gamma 90.00
_symmetry_space_group_name_H-M 'C m c 21'
_symmetry_Int_Tables_number 36
loop_
_symmetry_equiv_pos_as_xyz
'x,y,z'
'-x,-y,z+1/2'
'-x,y,z'
'x,-y,z+1/2'
'x+1/2,y+1/2,z'
'-x+1/2,-y+1/2,z+1/2'
'-x+1/2,y+1/2,z'
'x+1/2,-y+1/2,z+1/2'
loop_
_atom_site_label
_atom_site_fract_x
_atom_site_fract_y
_atom_site_fract_z
Dy1 0.000 0.206 0.000
Y1 0.000 0.048 0.757
Y2 0.000 0.280 0.501
Y3 0.164 0.455 0.385
Y4 0.245 0.291 0.206
Er1 0.000 0.389 0.921
Er2 0.171 0.109 0.301
```

The following is a DFT calculation (PBE) of an optimized crystal structure of Dy12Y5Er2.

Results
Its relative energy among the computed polymorphs is 0 meV/atom. The calculation puts the electronic total energy at -4.971 eV/atom. The density of states at the Fermi level comes out at 29.949 states/eV/cell. The formation energy comes out at 2.21 eV/f.u.

Geometry as CIF:
```
data_Dy12Y5Er2
_chemical_formula_sum 'Dy12 Y5 Er2'
_cell_length_a 6.012
_cell_length_b 9.702
_cell_length_c 11.190
_cell_angle_alpha 70.11
_cell_angle_beta 82.93
_cell_angle_gamma 89.12
_symmetry_space_group_name_H-M 'P -1'
_symmetry_Int_Tables_number 2
loop_
_symmetry_equiv_pos_as_xyz
'x,y,z'
'-x,-y,-z'
loop_
_atom_site_label
_atom_site_fract_x
_atom_site_fract_y
_atom_site_fract_z
Dy1 0.041 0.187 0.155
Dy2 0.077 0.815 0.544
Dy3 0.162 0.819 0.227
Dy4 0.385 0.404 0.288
Dy5 0.427 0.318 0.606
Dy6 0.428 0.681 0.988
Y1 0.000 0.500 0.500
Y2 0.103 0.462 0.843
Y3 0.498 0.953 0.669
Er1 0.283 0.067 0.920
```

The following is a DFT calculation (PBE) of an optimized crystal structure of Dy12YEr2.

Results
The calculation puts the electronic total energy at -4.604 eV/atom. The density of states at the Fermi level comes out at 96.165 states/eV/cell. The formation energy comes out at 1.75 eV/f.u.

Geometry as CIF:
```
data_Dy12YEr2
_chemical_formula_sum 'Dy48 Y4 Er8'
_cell_length_a 7.088
_cell_length_b 11.117
_cell_length_c 24.338
_cell_angle_alpha 90.00
_cell_angle_beta 94.28
_cell_angle_gamma 90.00
_symmetry_space_group_name_H-M 'C 1 2/m 1'
_symmetry_Int_Tables_number 12
loop_
_symmetry_equiv_pos_as_xyz
'x,y,z'
'-x,-y,-z'
'-x,y,-z'
'x,-y,z'
'x+1/2,y+1/2,z'
'-x+1/2,-y+1/2,-z'
'-x+1/2,y+1/2,-z'
'x+1/2,-y+1/2,z'
loop_
_atom_site_label
_atom_site_fract_x
_atom_site_fract_y
_atom_site_fract_z
Dy1 0.018 0.250 0.074
Dy2 0.111 0.243 0.445
Dy3 0.143 0.500 0.585
Dy4 0.155 0.000 0.568
Dy5 0.169 0.239 0.670
Dy6 0.200 0.261 0.799
Dy7 0.214 0.000 0.856
Dy8 0.217 0.500 0.869
Y1 0.249 0.000 0.994
Er1 0.058 0.500 0.271
Er2 0.076 0.000 0.272
```